# 1
Here is a PBEsol-optimized structure of Er2TcAg from Alexandria via LeMat-Bulk. Energies are from SCAN.

E_form	-0.226	eV/atom
D(E_F)	2.20	states/eV/f.u.

Unit cell a=4.8354 b=4.8354 c=4.8354 alpha=60.00 beta=60.00 gamma=60.00
Closest atoms and distances in Å follow each position.
Atoms (fractional coordinates):
Ag: 0.0000 0.0000 0.0000  8 Er 2.96
Er: 0.2500 0.2500 0.2500  4 Tc 2.96, 4 Ag 2.96
Tc: 0.5000 0.5000 0.5000  8 Er 2.96
Er: 0.7500 0.7500 0.7500  4 Ag 2.96, 4 Tc 2.96

# 2
Here is a PBEsol-optimized structure of Er2TlAg from Alexandria via LeMat-Bulk. Energies are from SCAN.

E_form	-0.487	eV/atom
D(E_F)	1.74	states/eV/f.u.

Unit cell a=5.1232 b=5.1232 c=5.1232 alpha=60.00 beta=60.00 gamma=60.00
Closest atoms and distances in Å follow each position.
Atoms (fractional coordinates):
Er: 0.2500 0.2500 0.2500  4 Tl 3.14, 4 Ag 3.14
Er: 0.7500 0.7500 0.7500  4 Ag 3.14, 4 Tl 3.14
Tl: 0.0000 0.0000 0.0000  8 Er 3.14
Ag: 0.5000 0.5000 0.5000  8 Er 3.14

# 3
Here is a PBEsol-optimized structure of Er2ZnAg from Alexandria via LeMat-Bulk. Energies are from SCAN.

E_form	-0.416	eV/atom
D(E_F)	2.70	states/eV/f.u.

Unit cell a=4.9587 b=4.9587 c=4.9587 alpha=60.00 beta=60.00 gamma=60.00
Closest atoms and distances in Å follow each position.
Atoms (fractional coordinates):
Er: 0.7500 0.7500 0.7500  4 Ag 3.04, 4 Zn 3.04
Zn: 0.0000 0.0000 0.0000  8 Er 3.04
Er: 0.2500 0.2500 0.2500  4 Zn 3.04, 4 Ag 3.04
Ag: 0.5000 0.5000 0.5000  8 Er 3.04